Entry from the Alexandria database: a relaxed YPuTe2Cl crystal (PBE).

Computed properties:
Calculated total energy ... -7.197 eV per atom
Formation energy from raw total energies ... -1411 meV/atom
Space-group type ... P4/nmm

Lattice parameters (Å, degrees): 4.385 4.385 15.102 90.00 90.00 90.00
Sites, in units of the cell vectors:
Y (0.250, 0.250, 0.094)
Y (0.750, 0.750, 0.906)
Pu (0.250, 0.250, 0.628)
Pu (0.750, 0.750, 0.372)
Te (0.250, 0.250, 0.297)
Te (0.250, 0.250, 0.887)
Te (0.750, 0.750, 0.113)
Te (0.750, 0.750, 0.703)
Cl (0.250, 0.750, 0.500)
Cl (0.750, 0.250, 0.500)

=====

Entry from the Alexandria database: a relaxed PuThCl2 crystal (PBE).

Computed properties:
Calculated total energy ... -7.386 eV per atom
Formation energy from raw total energies ... -1025 meV/atom
Space-group type ... R-3m

Lattice parameters (Å, degrees): 10.126 10.126 10.126 20.15 20.15 20.15
Sites, in units of the cell vectors:
Pu (0.000, 0.000, 0.000)
Th (0.500, 0.500, 0.500)
Cl (0.401, 0.401, 0.401)
Cl (0.599, 0.599, 0.599)

=====

Entry from the Alexandria database: a relaxed PuTi2Cl8 crystal (PBE).

Computed properties:
Calculated total energy ... -5.657 eV per atom
Formation energy from raw total energies ... -1576 meV/atom
Space-group type ... C2/m

Lattice parameters (Å, degrees): 7.896 7.896 6.486 90.86 90.86 77.13
Sites, in units of the cell vectors:
Pu (0.000, 0.000, 0.000)
Ti (0.205, 0.205, 0.631)
Ti (0.795, 0.795, 0.369)
Cl (0.074, 0.703, 0.237)
Cl (0.177, 0.177, 0.276)
Cl (0.297, 0.926, 0.763)
Cl (0.378, 0.378, 0.732)
Cl (0.622, 0.622, 0.268)
Cl (0.703, 0.074, 0.237)
Cl (0.823, 0.823, 0.724)
Cl (0.926, 0.297, 0.763)

=====

Entry from the Alexandria database: a relaxed PuTiCl5 crystal (PBE).

Computed properties:
Calculated total energy ... -6.149 eV per atom
Formation energy from raw total energies ... -1654 meV/atom
Space-group type ... P2_1/m

Lattice parameters (Å, degrees): 7.637 3.807 12.479 90.00 94.32 90.00
Sites, in units of the cell vectors:
Pu (0.100, 0.250, 0.152)
Pu (0.900, 0.750, 0.848)
Ti (0.429, 0.750, 0.357)
Ti (0.571, 0.250, 0.643)
Cl (0.088, 0.750, 0.321)
Cl (0.152, 0.250, 0.927)
Cl (0.331, 0.250, 0.480)
Cl (0.366, 0.750, 0.144)
Cl (0.385, 0.750, 0.698)
Cl (0.615, 0.250, 0.302)
Cl (0.634, 0.250, 0.856)
Cl (0.669, 0.750, 0.520)
Cl (0.848, 0.750, 0.073)
Cl (0.912, 0.250, 0.679)

=====

Entry from the Alexandria database: a relaxed PuTiCl crystal (PBE).

Computed properties:
Calculated total energy ... -8.638 eV per atom
Formation energy from raw total energies ... -614 meV/atom
Space-group type ... Pbcm

Lattice parameters (Å, degrees): 11.712 5.154 4.864 90.00 90.00 90.00
Sites, in units of the cell vectors:
Pu (0.226, 0.017, 0.250)
Pu (0.226, 0.483, 0.750)
Pu (0.774, 0.517, 0.250)
Pu (0.774, 0.983, 0.750)
Ti (0.046, 0.584, 0.250)
Ti (0.046, 0.916, 0.750)
Ti (0.954, 0.084, 0.250)
Ti (0.954, 0.416, 0.750)
Cl (0.358, 0.511, 0.250)
Cl (0.358, 0.989, 0.750)
Cl (0.642, 0.011, 0.250)
Cl (0.642, 0.489, 0.750)

=====

Entry from the Alexandria database: a relaxed Pu4TlCl12 crystal (PBE).

Computed properties:
Calculated total energy ... -6.623 eV per atom
Formation energy from raw total energies ... -1808 meV/atom
Space-group type ... Immm

Lattice parameters (Å, degrees): 9.218 9.218 9.218 110.86 108.80 108.77
Sites, in units of the cell vectors:
Pu (0.000, 0.000, 0.500)
Pu (0.000, 0.500, 0.000)
Pu (0.500, 0.000, 0.000)
Pu (0.500, 0.500, 0.500)
Tl (0.000, 0.000, 0.000)
Cl (0.000, 0.302, 0.697)
Cl (0.000, 0.698, 0.303)
Cl (0.250, 0.188, 0.438)
Cl (0.250, 0.812, 0.062)
Cl (0.252, 0.064, 0.812)
Cl (0.252, 0.440, 0.188)
Cl (0.395, 0.698, 0.697)
Cl (0.605, 0.302, 0.303)
Cl (0.748, 0.560, 0.812)
Cl (0.748, 0.936, 0.188)
Cl (0.750, 0.188, 0.938)
Cl (0.750, 0.812, 0.562)

=====

Entry from the Alexandria database: a relaxed Pu2Tl5Cl12 crystal (PBE).

Computed properties:
Calculated total energy ... -4.662 eV per atom
Formation energy from raw total energies ... -1365 meV/atom
Space-group type ... C2/m

Lattice parameters (Å, degrees): 9.677 9.677 10.381 106.68 106.68 50.43
Sites, in units of the cell vectors:
Pu (0.250, 0.750, 0.000)
Pu (0.750, 0.250, 0.000)
Tl (0.000, 0.000, 0.500)
Tl (0.283, 0.283, 0.623)
Tl (0.319, 0.319, 0.230)
Tl (0.681, 0.681, 0.770)
Tl (0.717, 0.717, 0.377)
Cl (0.009, 0.009, 0.175)
Cl (0.101, 0.592, 0.937)
Cl (0.109, 0.600, 0.446)
Cl (0.400, 0.891, 0.554)
Cl (0.408, 0.899, 0.063)
Cl (0.493, 0.493, 0.824)
Cl (0.507, 0.507, 0.176)
Cl (0.592, 0.101, 0.937)
Cl (0.600, 0.109, 0.446)
Cl (0.891, 0.400, 0.554)
Cl (0.899, 0.408, 0.063)
Cl (0.991, 0.991, 0.825)

=====

Entry from the Alexandria database: a relaxed PuTlCl3 crystal (PBE).

Computed properties:
Calculated total energy ... -5.903 eV per atom
Formation energy from raw total energies ... -1455 meV/atom
Space-group type ... P2_1/m

Lattice parameters (Å, degrees): 8.791 4.176 8.955 90.00 98.98 90.00
Sites, in units of the cell vectors:
Pu (0.156, 0.250, 0.144)
Pu (0.844, 0.750, 0.856)
Tl (0.376, 0.750, 0.701)
Tl (0.624, 0.250, 0.299)
Cl (0.057, 0.250, 0.822)
Cl (0.301, 0.250, 0.441)
Cl (0.355, 0.750, 0.092)
Cl (0.645, 0.250, 0.908)
Cl (0.699, 0.750, 0.559)
Cl (0.943, 0.750, 0.178)

=====

Repeat the third record exactly.
Entry from the Alexandria database: a relaxed PuTi2Cl8 crystal (PBE).

Computed properties:
Calculated total energy ... -5.657 eV per atom
Formation energy from raw total energies ... -1576 meV/atom
Space-group type ... C2/m

Lattice parameters (Å, degrees): 7.896 7.896 6.486 90.86 90.86 77.13
Sites, in units of the cell vectors:
Pu (0.000, 0.000, 0.000)
Ti (0.205, 0.205, 0.631)
Ti (0.795, 0.795, 0.369)
Cl (0.074, 0.703, 0.237)
Cl (0.177, 0.177, 0.276)
Cl (0.297, 0.926, 0.763)
Cl (0.378, 0.378, 0.732)
Cl (0.622, 0.622, 0.268)
Cl (0.703, 0.074, 0.237)
Cl (0.823, 0.823, 0.724)
Cl (0.926, 0.297, 0.763)

=====

> The highest calculated total energy belongs to which entry?

Pu2Tl5Cl12

=====

Repeat the third record exactly.
Entry from the Alexandria database: a relaxed PuTi2Cl8 crystal (PBE).

Computed properties:
Calculated total energy ... -5.657 eV per atom
Formation energy from raw total energies ... -1576 meV/atom
Space-group type ... C2/m

Lattice parameters (Å, degrees): 7.896 7.896 6.486 90.86 90.86 77.13
Sites, in units of the cell vectors:
Pu (0.000, 0.000, 0.000)
Ti (0.205, 0.205, 0.631)
Ti (0.795, 0.795, 0.369)
Cl (0.074, 0.703, 0.237)
Cl (0.177, 0.177, 0.276)
Cl (0.297, 0.926, 0.763)
Cl (0.378, 0.378, 0.732)
Cl (0.622, 0.622, 0.268)
Cl (0.703, 0.074, 0.237)
Cl (0.823, 0.823, 0.724)
Cl (0.926, 0.297, 0.763)